First-principles (PBE) data for an optimized crystal structure of ZnPPb2, as listed in Alexandria via LeMat-Bulk.

For the energy above the most stable polymorph in this dataset, the calculation gives 77.4 meV/atom. The value obtained for the formation energy is 0.16 eV/atom.

abc: 7.6725 7.6725 7.6725
angles: 30.53 30.53 30.53
With the nearest neighbours (Å) after each atom.
Fractional coordinates of all 4 atoms:
Zn1 0.5000 0.5000 0.5000  6 Pb 3.06
P1 0.0000 0.0000 0.0000  6 Pb 2.87
Pb1 0.7430 0.7430 0.7430  3 P 2.87, 3 Zn 3.06
Pb2 0.2570 0.2570 0.2570  3 P 2.87, 3 Zn 3.06

First-principles (PBE) data for an optimized crystal structure of PrHoSiRh, as listed in Alexandria via LeMat-Bulk.

As for the energy relative to the elements, uncorrected: -0.78 eV/atom.

abc: 4.2650 4.1054 5.6918
angles: 90.00 112.00 90.00
With the nearest neighbours (Å) after each atom.
Fractional coordinates of all 4 atoms:
Pr1 0.1468 0.0000 0.2937  3 Rh 2.94-3.16, 4 Si 3.09
Ho1 0.8646 0.5000 0.7292  3 Si 2.99-3.18, 4 Rh 3.03
Rh1 0.4256 0.0000 0.8511  2 Si 2.51
Si1 0.5630 0.5000 0.1260  2 Rh 2.51

First-principles (PBE) data for an optimized crystal structure of NaHfS2F, as listed in Alexandria via LeMat-Bulk.

As for the energy relative to the elements, uncorrected: -1.96 eV/atom.

abc: 4.9895 4.9895 4.1422
angles: 90.00 90.00 90.00
With the nearest neighbours (Å) after each atom.
Fractional coordinates of all 5 atoms:
Hf1 0.0000 0.0000 0.0000  2 F 2.07
Na1 0.5000 0.5000 0.5000  8 S 3.24, 4 F 3.53
F1 0.0000 0.0000 0.5000  2 Hf 2.07
S1 0.0000 0.5000 0.0000  2 Hf 2.49
S2 0.5000 0.0000 0.0000  2 Hf 2.49

First-principles (PBE) data for an optimized crystal structure of NdTm2PuSb4, as listed in Alexandria via LeMat-Bulk.

As for the energy relative to the elements, uncorrected: -0.97 eV/atom.

abc: 4.4159 7.6208 7.6406
angles: 70.49 90.00 90.00
With the nearest neighbours (Å) after each atom.
Fractional coordinates of all 8 atoms:
Nd1 0.5000 0.5000 0.0000  6 Sb 3.17
Sb1 0.5000 0.2424 0.7492  3 Tm 3.06-3.10, 2 Pu 3.14, 1 Nd 3.17
Sb2 0.0000 0.2399 0.2567  3 Tm 3.07-3.10, 1 Pu 3.14, 2 Nd 3.17
Sb3 0.0000 0.7601 0.7433  3 Tm 3.07-3.10, 1 Pu 3.14, 2 Nd 3.17
Sb4 0.5000 0.7576 0.2507  3 Tm 3.06-3.10, 2 Pu 3.14, 1 Nd 3.17
Tm1 0.0000 0.0000 0.0000  6 Sb 3.10
Tm2 0.5000 0.0000 0.5000  6 Sb 3.06-3.07
Pu1 0.0000 0.5000 0.5000  6 Sb 3.14

First-principles (PBE) data for an optimized crystal structure of ScTcSbRu, as listed in Alexandria via LeMat-Bulk.

As for the energy relative to the elements, uncorrected: -0.39 eV/atom.

abc: 4.5441 4.5441 4.5441
angles: 60.00 60.00 60.00
With the nearest neighbours (Å) after each atom.
Fractional coordinates of all 4 atoms:
Ru1 0.7500 0.7500 0.7500  4 Sb 2.78, 4 Sc 2.78
Sc1 0.0000 0.0000 0.0000  4 Tc 2.78, 4 Ru 2.78
Sb1 0.5000 0.5000 0.5000  4 Ru 2.78, 4 Tc 2.78
Tc1 0.2500 0.2500 0.2500  4 Sc 2.78, 4 Sb 2.78

First-principles (PBE) data for an optimized crystal structure of CdFeI2N, as listed in Alexandria via LeMat-Bulk.

For the energy above the most stable polymorph in this dataset, the calculation gives 1013.5 meV/atom. As for the energy relative to the elements, uncorrected: 1.33 eV/atom.

abc: 5.9931 5.9931 4.0759
angles: 90.00 90.00 90.00
With the nearest neighbours (Å) after each atom.
Fractional coordinates of all 5 atoms:
I1 0.0000 0.5000 0.0000  2 Cd 3.00
I2 0.5000 0.0000 0.0000  2 Cd 3.00
Cd1 0.0000 0.0000 0.0000  2 N 2.04
Fe1 0.5000 0.5000 0.5000  8 I 3.62
N1 0.0000 0.0000 0.5000  2 Cd 2.04

First-principles (PBE) data for an optimized crystal structure of MgSc3, as listed in Alexandria via LeMat-Bulk.

For the energy above the most stable polymorph in this dataset, the calculation gives 222.3 meV/atom. The value obtained for the formation energy is 0.21 eV/atom.

abc: 5.0189 5.0189 9.2609
angles: 90.00 90.00 120.00
With the nearest neighbours (Å) after each atom.
Fractional coordinates of all 8 atoms:
Sc1 0.3333 0.6667 0.4183  4 Mg 3.07-3.29, 7 Sc 3.12-3.29
Sc2 0.3333 0.6667 0.0817  4 Mg 3.07-3.29, 7 Sc 3.12-3.29
Sc3 0.0000 0.0000 0.2500  3 Mg 2.90
Sc4 0.6667 0.3333 0.9183  4 Mg 3.07-3.29, 7 Sc 3.12-3.29
Sc5 0.0000 0.0000 0.7500  3 Mg 2.90
Sc6 0.6667 0.3333 0.5817  4 Mg 3.07-3.29, 7 Sc 3.12-3.29
Mg1 0.3333 0.6667 0.7500  5 Sc 2.90-3.07
Mg2 0.6667 0.3333 0.2500  5 Sc 2.90-3.07

First-principles (PBE) data for an optimized crystal structure of CeThCo2, as listed in Alexandria via LeMat-Bulk.

For the energy above the most stable polymorph in this dataset, the calculation gives 114.0 meV/atom. The value obtained for the formation energy is -0.18 eV/atom.

abc: 3.8959 3.8959 6.6962
angles: 73.09 73.09 60.00
With the nearest neighbours (Å) after each atom.
Fractional coordinates of all 4 atoms:
Co1 0.7535 0.7535 0.7396  3 Ce 2.71, 3 Th 2.78
Co2 0.2465 0.2465 0.2604  3 Ce 2.71, 3 Th 2.78
Ce1 0.5000 0.5000 0.5000  6 Co 2.71
Th1 0.0000 0.0000 0.0000  6 Co 2.78

First-principles (PBE) data for an optimized crystal structure of LiY2AlO, as listed in Alexandria via LeMat-Bulk.

As for the energy relative to the elements, uncorrected: -1.37 eV/atom.

abc: 4.7963 4.7963 4.0865
angles: 90.00 90.00 90.00
With the nearest neighbours (Å) after each atom.
Fractional coordinates of all 5 atoms:
Li1 0.0000 0.0000 0.5000  2 O 2.04
O1 0.0000 0.0000 0.0000  2 Li 2.04
Y1 0.5000 0.0000 0.0000  2 O 2.40
Y2 0.0000 0.5000 0.0000  2 O 2.40
Al1 0.5000 0.5000 0.5000  8 Y 3.15, 4 Li 3.39

First-principles (PBE) data for an optimized crystal structure of CaNd2In4, as listed in Alexandria via LeMat-Bulk.

The value obtained for the formation energy is -0.30 eV/atom.

abc: 5.3287 5.3287 8.4315
angles: 108.42 108.42 90.00
With the nearest neighbours (Å) after each atom.
Fractional coordinates of all 7 atoms:
In1 0.1116 0.6116 0.2232  2 Ca 3.15, 1 In 3.37, 4 Nd 3.37-3.40
In2 0.3884 0.8884 0.7768  2 Ca 3.15, 1 In 3.37, 4 Nd 3.37-3.40
In3 0.8884 0.3884 0.7768  2 Ca 3.15, 1 In 3.37, 4 Nd 3.37-3.40
In4 0.6116 0.1116 0.2232  2 Ca 3.15, 1 In 3.37, 4 Nd 3.37-3.40
Nd1 0.7485 0.7485 0.4971  8 In 3.37-3.40, 4 Nd 3.77
Nd2 0.2515 0.2515 0.5029  8 In 3.37-3.40, 4 Nd 3.77
Ca1 0.0000 0.0000 0.0000  8 In 3.15